Entry 1:
Material: CaAu2
Method: DFT, meta-GGA SCAN
State: single point on PBEsol structure

## Properties
* DFT formation energy: -0.7649 eV per atom
* SG: Pnma, No. 62

Unit cell a=5.2012 b=5.7404 c=8.3241 alpha=90.00 beta=90.00 gamma=90.00
Atoms (fractional coordinates):
1 Au 0.7500 0.0009 0.7498
2 Au 0.7500 0.5009 0.7502
3 Au 0.2500 0.4991 0.2498
4 Au 0.2500 0.7478 0.9470
5 Au 0.2500 0.9991 0.2502
6 Au 0.7500 0.7522 0.4470
7 Au 0.7500 0.2522 0.0530
8 Au 0.2500 0.2478 0.5530
9 Ca 0.2500 0.2478 0.9029
10 Ca 0.7500 0.2522 0.4029
11 Ca 0.7500 0.7522 0.0971
12 Ca 0.2500 0.7478 0.5971

***

Entry 2:
Material: BiRh3Pb
Method: DFT, meta-GGA SCAN
State: single point on PBEsol structure

## Properties
* DFT formation energy: 1.0642 eV per atom
* SG: Pm-3m, No. 221

Unit cell a=4.9308 b=4.9308 c=4.9308 alpha=90.00 beta=90.00 gamma=90.00
Site moments in Bohr magnetons follow the coordinates.
Atoms (fractional coordinates):
1 Pb 0.5000 0.5000 0.5000  0.02
2 Rh 0.0000 0.5000 0.0000  0.69
3 Rh 0.0000 0.0000 0.5000  0.69
4 Rh 0.5000 0.0000 0.0000  0.69
5 Bi 0.0000 0.0000 0.0000  -0.02

***

Entry 3:
Material: SrPt2Pb
Method: DFT, meta-GGA SCAN
State: single point on PBEsol structure

## Properties
* DFT formation energy: -0.5578 eV per atom
* SG: Pm, No. 6

Unit cell a=4.0451 b=4.1943 c=5.6731 alpha=90.00 beta=110.83 gamma=90.00
Atoms (fractional coordinates):
1 Sr 0.5194 0.0000 0.4135
2 Pt 0.9588 0.5000 0.2915
3 Pt 0.7950 0.0000 0.9674
4 Pb 0.2267 0.5000 0.8276

***

Entry 4:
Material: Au3C
Method: DFT, meta-GGA SCAN
State: single point on PBEsol structure

## Properties
* DFT formation energy: 1.1372 eV per atom
* distance to the lowest polymorph of the same formula: 0.11 eV/f.u.
* SG: Imm2, No. 44

Unit cell a=2.9042 b=4.9517 c=4.9517 alpha=65.27 beta=72.95 gamma=72.95
Atoms (fractional coordinates):
1 Au 0.5000 0.0542 0.9458
2 Au 0.6883 0.3594 0.2640
3 Au 0.3117 0.7360 0.6406
4 C 0.0000 0.6838 0.3162

***

Entry 5:
Material: Ta2PCl
Method: DFT, meta-GGA SCAN
State: single point on PBEsol structure

## Properties
* uncorrected formation energy: -83 kJ/mol of formula units
* distance to the lowest polymorph of the same formula: 0.00 eV/f.u.
* SG: C2/m, No. 12

Unit cell a=3.3837 b=4.1496 c=6.3773 alpha=78.41 beta=74.62 gamma=65.94
Atoms (fractional coordinates):
1 P 0.0000 0.5000 0.5000
2 Ta 0.2371 0.8692 0.6567
3 Ta 0.7629 0.1308 0.3433
4 Cl 0.5000 0.0000 0.0000

***

Entry 6:
Material: AlCr2Cu
Method: DFT, meta-GGA SCAN
State: single point on PBEsol structure

## Properties
* DFT formation energy: 0.1664 eV per atom
* SG: P4/mmm, No. 123

Unit cell a=2.4817 b=2.4817 c=7.7389 alpha=90.00 beta=90.00 gamma=90.00
Atoms (fractional coordinates):
1 Al 0.5000 0.5000 0.5000
2 Cr 0.0000 0.0000 0.2472
3 Cr 0.0000 0.0000 0.7528
4 Cu 0.5000 0.5000 0.0000

***

Entry 7:
Material: TlInIr
Method: DFT, meta-GGA SCAN
State: single point on PBEsol structure

## Properties
* DFT formation energy: 0.3887 eV per atom
* SG: P3m1, No. 156

Unit cell a=3.1885 b=3.1885 c=6.8425 alpha=90.00 beta=90.00 gamma=120.00
Atoms (fractional coordinates):
1 In 0.0000 0.0000 0.9663
2 Tl 0.6667 0.3333 0.3588
3 Ir 0.3333 0.6667 0.6749

***

Entry 8:
Material: TePdC3
Method: DFT, meta-GGA SCAN
State: single point on PBEsol structure

## Properties
* uncorrected formation energy: 1265 kJ/mol of formula units
* SG: Pm-3m, No. 221

Unit cell a=4.0373 b=4.0373 c=4.0373 alpha=90.00 beta=90.00 gamma=90.00
Atoms (fractional coordinates):
1 Te 0.5000 0.5000 0.5000
2 C 0.5000 0.0000 0.0000
3 C 0.0000 0.5000 0.0000
4 C 0.0000 0.0000 0.5000
5 Pd 0.0000 0.0000 0.0000

***

Entry 9:
Material: BeCr2PtO
Method: DFT, meta-GGA SCAN
State: single point on PBEsol structure

## Properties
* uncorrected formation energy: 368 kJ/mol of formula units
* SG: P4/mmm, No. 123

Unit cell a=3.6800 b=5.0067 c=5.0067 alpha=90.00 beta=90.00 gamma=90.00
Site moments in Bohr magnetons follow the coordinates.
Atoms (fractional coordinates):
1 O 0.5000 0.0000 0.0000  0.03
2 Cr 0.0000 0.0000 0.5000  4.00
3 Cr 0.0000 0.5000 0.0000  4.00
4 Be 0.5000 0.5000 0.5000  -0.04
5 Pt 0.0000 0.0000 0.0000  0.04

***

Entry 10:
Material: TaTe2Os
Method: DFT, meta-GGA SCAN
State: single point on PBEsol structure

## Properties
* uncorrected formation energy: 294 kJ/mol of formula units
* distance to the lowest polymorph of the same formula: 2.40 eV/f.u.
* SG: C2/m, No. 12

Unit cell a=4.2468 b=4.2006 c=5.4063 alpha=109.91 beta=110.20 gamma=97.02
Atoms (fractional coordinates):
1 Ta 0.0000 0.5000 0.0000
2 Te 0.5000 0.5000 0.5000
3 Te 0.0000 0.0000 0.5000
4 Os 0.5000 0.0000 0.0000

***

Entry 11:
Material: OsBr2Cl
Method: DFT, meta-GGA SCAN
State: single point on PBEsol structure

## Properties
* uncorrected formation energy: 566 kJ/mol of formula units
* distance to the lowest polymorph of the same formula: 5.88 eV/f.u.
* SG: P4/mmm, No. 123

Unit cell a=3.0165 b=4.8650 c=4.8650 alpha=90.00 beta=90.00 gamma=90.00
Atoms (fractional coordinates):
1 Br 0.0000 0.5000 0.0000
2 Br 0.0000 0.0000 0.5000
3 Os 0.5000 0.0000 0.0000
4 Cl 0.5000 0.5000 0.5000

***

Entry 12:
Material: Tl2HgAu
Method: DFT, meta-GGA SCAN
State: single point on PBEsol structure

## Properties
* DFT formation energy: -0.0032 eV per atom
* distance to the lowest polymorph of the same formula: 0.12 eV/f.u.
* SG: P4mm, No. 99

Unit cell a=3.3787 b=3.3787 c=8.4023 alpha=90.00 beta=90.00 gamma=90.00
Atoms (fractional coordinates):
1 Tl 0.5000 0.5000 0.7079
2 Tl 0.0000 0.0000 0.0206
3 Au 0.0000 0.0000 0.4878
4 Hg 0.5000 0.5000 0.2838

***

Entry 13:
Material: CuBr
Method: DFT, meta-GGA SCAN
State: single point on PBEsol structure

## Properties
* uncorrected formation energy: -47 kJ/mol of formula units
* SG: Cm, No. 8

Unit cell a=3.9388 b=6.7847 c=6.6153 alpha=121.42 beta=90.00 gamma=106.87
Atoms (fractional coordinates):
1 Br 0.4717 0.9434 0.6374
2 Br 0.3080 0.6160 0.9543
3 Br 0.1166 0.2332 0.2584
4 Cu 0.0560 0.1120 0.5519
5 Cu 0.5273 0.0546 0.3028
6 Cu 0.6870 0.3741 0.7952

***

Entry 14:
Material: LaTiPO2
Method: DFT, meta-GGA SCAN
State: single point on PBEsol structure

## Properties
* uncorrected formation energy: -401 kJ/mol of formula units
* SG: P4/mmm, No. 123

Unit cell a=4.0449 b=4.0449 c=8.3133 alpha=90.00 beta=90.00 gamma=90.00
Site moments in Bohr magnetons follow the coordinates.
Atoms (fractional coordinates):
1 Ti 0.0000 0.0000 0.5000  -1.19
2 P 0.5000 0.5000 0.5000  0.17
3 O 0.0000 0.5000 0.0000  0.00
4 O 0.5000 0.0000 0.0000  0.00
5 La 0.0000 0.0000 0.0000  -0.01

***

Entry 15:
Material: TlZnCr
Method: DFT, meta-GGA SCAN
State: single point on PBEsol structure

## Properties
* DFT formation energy: 0.3286 eV per atom
* SG: P3m1, No. 156

Unit cell a=3.1158 b=4.4178 c=4.4178 alpha=120.00 beta=90.00 gamma=90.00
Site moments in Bohr magnetons follow the coordinates.
Atoms (fractional coordinates):
1 Zn 0.3541 0.6667 0.3333  -0.06
2 Tl 0.6153 0.3333 0.6667  -0.08
3 Cr 0.0306 0.0000 0.0000  3.77

***

Entry 16:
Material: LiBPb2
Method: DFT, meta-GGA SCAN
State: single point on PBEsol structure

## Properties
* DFT formation energy: 0.3956 eV per atom
* SG: I-42d, No. 122

Unit cell a=4.8516 b=6.4303 c=6.4303 alpha=81.82 beta=67.84 gamma=67.84
Atoms (fractional coordinates):
1 Li 0.2500 0.5000 0.5000
2 Li 0.5000 0.0000 0.0000
3 Pb 0.3750 0.6145 0.8855
4 Pb 0.8750 0.3855 0.1145
5 Pb 0.0105 0.1145 0.6145
6 Pb 0.7395 0.8855 0.3855
7 B 0.7500 0.5000 0.5000
8 B 0.0000 0.0000 0.0000

***

Entry 17:
Material: Mg2ZnNi
Method: DFT, meta-GGA SCAN
State: single point on PBEsol structure

## Properties
* DFT formation energy: -0.1353 eV per atom
* SG: I-4m2, No. 119

Unit cell a=3.8256 b=3.8256 c=4.9017 alpha=112.97 beta=112.97 gamma=90.00
Atoms (fractional coordinates):
1 Zn 0.2500 0.7500 0.5000
2 Ni 0.5000 0.5000 0.0000
3 Mg 0.0000 0.0000 0.0000
4 Mg 0.7500 0.2500 0.5000

***

Entry 18:
Material: LiPPtPb2
Method: DFT, meta-GGA SCAN
State: single point on PBEsol structure

## Properties
* DFT formation energy: 0.5276 eV per atom
* SG: P4/mmm, No. 123

Unit cell a=4.2773 b=4.9785 c=4.9785 alpha=90.00 beta=90.00 gamma=90.00
Atoms (fractional coordinates):
1 Pb 0.0000 0.0000 0.5000
2 Pb 0.0000 0.5000 0.0000
3 P 0.5000 0.5000 0.5000
4 Li 0.0000 0.0000 0.0000
5 Pt 0.5000 0.0000 0.0000

***

Entry 19:
Material: CaIn2Ni
Method: DFT, meta-GGA SCAN
State: single point on PBEsol structure

## Properties
* DFT formation energy: -0.2704 eV per atom
* SG: P4/mmm, No. 123

Unit cell a=3.2501 b=3.2501 c=7.6290 alpha=90.00 beta=90.00 gamma=90.00
Atoms (fractional coordinates):
1 In 0.0000 0.0000 0.8058
2 In 0.0000 0.0000 0.1942
3 Ca 0.5000 0.5000 0.5000
4 Ni 0.5000 0.5000 0.0000

***

Entry 20:
Material: YAl5
Method: DFT, meta-GGA SCAN
State: single point on PBEsol structure

## Properties
* DFT formation energy: -0.2214 eV per atom
* SG: Cmmm, No. 65

Unit cell a=4.1552 b=4.2701 c=6.4660 alpha=90.00 beta=108.74 gamma=90.00
Atoms (fractional coordinates):
1 Y 0.5000 0.0000 0.0000
2 Al 0.6731 0.5000 0.3461
3 Al 0.0000 0.5000 0.0000
4 Al 0.3269 0.5000 0.6539
5 Al 0.8232 0.0000 0.6464
6 Al 0.1768 0.0000 0.3536

***

The records above yield calculated total energy values of -50.09; -50.07; -60.17; -53.26; -38.10; -14.76; -58.56; -17.44; -22.75; -52.48; -28.23; -70.51; -17.57; -17.23; -34.42; -39.95; -10.04; -46.38; -23.42; -11.32 eV/atom, respectively.